[1]
DFT (GGA-PBE) results for a geometry-optimized SrBe structure.

Energy of formation from the pure elements = 0.650 eV/atom
Crystal system = tetragonal
Relative energy among the computed polymorphs = 0.701 eV per formula unit

```
data_SrBe
_chemical_formula_sum 'Sr4 Be4'
_symmetry_space_group_name_H-M 'P 42/m n m'
_symmetry_Int_Tables_number 136
_symmetry_space_group_name_Hall '-P 4n 2n'
_cell_length_a 6.401
_cell_length_b 6.401
_cell_length_c 6.109
_cell_angle_alpha 90.00
_cell_angle_beta 90.00
_cell_angle_gamma 90.00
loop_
_atom_site_label
_atom_site_fract_x
_atom_site_fract_y
_atom_site_fract_z
Sr1 0.191 0.191 0.000
Be1 0.115 0.115 0.500
```

***

[2]
DFT (GGA-PBE) results for a geometry-optimized Sr3Be4 structure.

Energy of formation from the pure elements = 0.601 eV/atom
Crystal system = tetragonal
Relative energy among the computed polymorphs = 0.000 eV per formula unit

```
data_Sr3Be4
_chemical_formula_sum 'Sr6 Be8'
_symmetry_space_group_name_H-M 'I 4/m m m'
_symmetry_Int_Tables_number 139
_symmetry_space_group_name_Hall '-I 4 2'
_cell_length_a 3.266
_cell_length_b 3.266
_cell_length_c 29.065
_cell_angle_alpha 90.00
_cell_angle_beta 90.00
_cell_angle_gamma 90.00
loop_
_atom_site_label
_atom_site_fract_x
_atom_site_fract_y
_atom_site_fract_z
Sr1 0.000 0.000 0.000
Sr2 0.000 0.000 0.313
Be1 0.000 0.000 0.106
Be2 0.000 0.000 0.418
```

***

[3]
DFT (GGA-PBE) results for a geometry-optimized Sr2Be structure.

Energy of formation from the pure elements = 0.410 eV/atom
Crystal system = orthorhombic
Relative energy among the computed polymorphs = 0.308 eV per formula unit

```
data_Sr2Be
_chemical_formula_sum 'Sr8 Be4'
_symmetry_space_group_name_H-M 'C m c m'
_symmetry_Int_Tables_number 63
_symmetry_space_group_name_Hall '-C 2c 2'
_cell_length_a 3.890
_cell_length_b 21.147
_cell_length_c 5.287
_cell_angle_alpha 90.00
_cell_angle_beta 90.00
_cell_angle_gamma 90.00
loop_
_atom_site_label
_atom_site_fract_x
_atom_site_fract_y
_atom_site_fract_z
Sr1 0.000 0.059 0.250
Sr2 0.000 0.187 0.750
Be1 0.000 0.437 0.250
```

***

[4]
DFT (GGA-PBE) results for a geometry-optimized Sr4Be structure.

Energy of formation from the pure elements = 0.265 eV/atom
Crystal system = cubic
Relative energy among the computed polymorphs = 0.000 eV per formula unit

```
data_Sr4Be
_chemical_formula_sum 'Sr4 Be1'
_symmetry_space_group_name_H-M 'P m -3 m'
_symmetry_Int_Tables_number 221
_symmetry_space_group_name_Hall '-P 4 2 3'
_cell_length_a 6.173
_cell_length_b 6.173
_cell_length_c 6.173
_cell_angle_alpha 90.00
_cell_angle_beta 90.00
_cell_angle_gamma 90.00
loop_
_atom_site_label
_atom_site_fract_x
_atom_site_fract_y
_atom_site_fract_z
Sr1 0.000 0.000 0.000
Sr2 0.000 0.500 0.500
Be1 0.500 0.500 0.500
```

***

[5]
DFT (GGA-PBE) results for a geometry-optimized Sr4Be5 structure.

Energy of formation from the pure elements = 0.831 eV/atom
Crystal system = hexagonal

```
data_Sr4Be5
_chemical_formula_sum 'Sr8 Be10'
_symmetry_space_group_name_H-M 'P 63/m c m'
_symmetry_Int_Tables_number 193
_symmetry_space_group_name_Hall '-P 6c 2'
_cell_length_a 9.1552
_cell_length_b 9.1552
_cell_length_c 6.4416
_cell_angle_alpha 90.00
_cell_angle_beta 90.00
_cell_angle_gamma 120.00
loop_
_atom_site_label
_atom_site_fract_x
_atom_site_fract_y
_atom_site_fract_z
Sr1 0.0000 0.0000 0.0000
Sr2 0.0000 0.3682 0.2500
Be1 0.0000 0.3071 0.7500
Be2 0.3333 0.6667 0.0000
```

***

[6]
DFT (GGA-PBE) results for a geometry-optimized SrBe2 structure.

Energy of formation from the pure elements = 0.593 eV/atom
Crystal system = tetragonal
Relative energy among the computed polymorphs = 0.945 eV per formula unit

```
data_SrBe2
_chemical_formula_sum 'Sr2 Be4'
_symmetry_space_group_name_H-M 'I 4/m m m'
_symmetry_Int_Tables_number 139
_symmetry_space_group_name_Hall '-I 4 2'
_cell_length_a 3.125
_cell_length_b 3.125
_cell_length_c 11.022
_cell_angle_alpha 90.00
_cell_angle_beta 90.00
_cell_angle_gamma 90.00
loop_
_atom_site_label
_atom_site_fract_x
_atom_site_fract_y
_atom_site_fract_z
Sr1 0.000 0.000 0.000
Be1 0.000 0.000 0.281
```

***

[7]
DFT (GGA-PBE) results for a geometry-optimized SrBe structure.

Energy of formation from the pure elements = 0.689 eV/atom
Crystal system = cubic
Relative energy among the computed polymorphs = 0.780 eV per formula unit

```
data_SrBe
_chemical_formula_sum 'Sr8 Be8'
_symmetry_space_group_name_H-M 'I -4 3 m'
_symmetry_Int_Tables_number 217
_symmetry_space_group_name_Hall 'I -4 2 3'
_cell_length_a 8.752
_cell_length_b 8.752
_cell_length_c 8.752
_cell_angle_alpha 90.00
_cell_angle_beta 90.00
_cell_angle_gamma 90.00
loop_
_atom_site_label
_atom_site_fract_x
_atom_site_fract_y
_atom_site_fract_z
Sr1 0.212 0.212 0.788
Be1 0.086 0.086 0.086
```

***

[8]
DFT (GGA-PBE) results for a geometry-optimized SrBe structure.

Energy of formation from the pure elements = 0.642 eV/atom
Crystal system = trigonal
Relative energy among the computed polymorphs = 0.686 eV per formula unit

```
data_SrBe
_chemical_formula_sum 'Sr2 Be2'
_symmetry_space_group_name_H-M 'P -3 m 1'
_symmetry_Int_Tables_number 164
_symmetry_space_group_name_Hall '-P 3 2"'
_cell_length_a 3.9667
_cell_length_b 3.9667
_cell_length_c 9.0714
_cell_angle_alpha 90.00
_cell_angle_beta 90.00
_cell_angle_gamma 120.00
loop_
_atom_site_label
_atom_site_fract_x
_atom_site_fract_y
_atom_site_fract_z
Sr1 0.3333 0.6667 0.2040
Be1 0.3333 0.6667 0.5338
```

***

[9]
DFT (GGA-PBE) results for a geometry-optimized SrBe structure.

Energy of formation from the pure elements = 0.400 eV/atom
Crystal system = orthorhombic
Relative energy among the computed polymorphs = 0.201 eV per formula unit

```
data_SrBe
_chemical_formula_sum 'Sr2 Be2'
_symmetry_space_group_name_H-M 'P m m a'
_symmetry_Int_Tables_number 51
_symmetry_space_group_name_Hall '-P 2a 2a'
_cell_length_a 4.144
_cell_length_b 4.003
_cell_length_c 7.634
_cell_angle_alpha 90.00
_cell_angle_beta 90.00
_cell_angle_gamma 90.00
loop_
_atom_site_label
_atom_site_fract_x
_atom_site_fract_y
_atom_site_fract_z
Sr1 0.250 0.000 0.250
Be1 0.250 0.500 0.544
```

***

[10]
DFT (GGA-PBE) results for a geometry-optimized SrBe5 structure.

Energy of formation from the pure elements = 0.528 eV/atom
Crystal system = monoclinic

```
data_SrBe5
_chemical_formula_sum 'Sr2 Be10'
_symmetry_space_group_name_H-M 'C 1 m 1'
_symmetry_Int_Tables_number 8
_symmetry_space_group_name_Hall 'C -2y'
_cell_length_a 12.178
_cell_length_b 2.571
_cell_length_c 5.486
_cell_angle_alpha 90.00
_cell_angle_beta 116.56
_cell_angle_gamma 90.00
loop_
_atom_site_label
_atom_site_fract_x
_atom_site_fract_y
_atom_site_fract_z
Sr1 0.000 0.000 0.000
Be1 0.120 0.500 0.618
Be2 0.229 0.500 0.233
Be3 0.269 0.000 0.976
Be4 0.270 0.000 0.569
Be5 0.422 0.500 0.422
```

***

[11]
DFT (GGA-PBE) results for a geometry-optimized SrBe structure.

Energy of formation from the pure elements = 0.484 eV/atom
Crystal system = orthorhombic
Relative energy among the computed polymorphs = 0.370 eV per formula unit

```
data_SrBe
_chemical_formula_sum 'Sr6 Be6'
_symmetry_space_group_name_H-M 'C m m m'
_symmetry_Int_Tables_number 65
_symmetry_space_group_name_Hall '-C 2 2'
_cell_length_a 4.191
_cell_length_b 20.141
_cell_length_c 4.446
_cell_angle_alpha 90.00
_cell_angle_beta 90.00
_cell_angle_gamma 90.00
loop_
_atom_site_label
_atom_site_fract_x
_atom_site_fract_y
_atom_site_fract_z
Sr1 0.000 0.000 0.000
Sr2 0.000 0.340 0.500
Be1 0.000 0.237 0.000
Be2 0.000 0.500 0.500
```

***

[12]
DFT (GGA-PBE) results for a geometry-optimized Sr2Be structure.

Energy of formation from the pure elements = 0.407 eV/atom
Crystal system = hexagonal
Relative energy among the computed polymorphs = 0.299 eV per formula unit

```
data_Sr2Be
_chemical_formula_sum 'Sr6 Be3'
_symmetry_space_group_name_H-M 'P -6 2 m'
_symmetry_Int_Tables_number 189
_symmetry_space_group_name_Hall 'P -6 -2'
_cell_length_a 8.3944
_cell_length_b 8.3944
_cell_length_c 5.1803
_cell_angle_alpha 90.00
_cell_angle_beta 90.00
_cell_angle_gamma 120.00
loop_
_atom_site_label
_atom_site_fract_x
_atom_site_fract_y
_atom_site_fract_z
Sr1 0.0000 0.2598 0.0000
Sr2 0.0000 0.5937 0.5000
Be1 0.0000 0.0000 0.5000
Be2 0.3333 0.6667 0.0000
```

***

[13]
DFT (GGA-PBE) results for a geometry-optimized Sr2Be structure.

Energy of formation from the pure elements = 0.392 eV/atom
Crystal system = orthorhombic
Relative energy among the computed polymorphs = 0.253 eV per formula unit

```
data_Sr2Be
_chemical_formula_sum 'Sr8 Be4'
_symmetry_space_group_name_H-M 'P n m a'
_symmetry_Int_Tables_number 62
_symmetry_space_group_name_Hall '-P 2ac 2n'
_cell_length_a 8.067
_cell_length_b 5.249
_cell_length_c 9.867
_cell_angle_alpha 90.00
_cell_angle_beta 90.00
_cell_angle_gamma 90.00
loop_
_atom_site_label
_atom_site_fract_x
_atom_site_fract_y
_atom_site_fract_z
Sr1 0.024 0.250 0.171
Sr2 0.148 0.250 0.573
Be1 0.250 0.250 0.887
```

***

Calculated total energy (computed, eV/atom): -2.05; -2.25; -1.95; -1.83; -1.99; -2.45; -2.01; -2.06; -2.30; -2.86; -2.22; -1.96; -1.97